Entry 1:
VASP calculation (PBE) on a relaxed structure of Ta2CdP.

Lattice parameters (Å, degrees): 2.948 2.948 9.018 90.00 90.00 105.55
Fractional positions:
Ta: 0.000 0.000 0.000
Ta: 0.500 0.500 0.243
Cd: 0.500 0.500 0.740
P: 0.000 0.000 0.437

Calculated values
space group	Cmm2
E_tot	-7.48	eV per atom
energy relative to the elements	0.028	eV per atom
polymorph energy (0 for the lowest one)	170	meV per atom

***

Entry 2:
VASP calculation (PBE) on a relaxed structure of Ta2CdP.

Lattice parameters (Å, degrees): 3.128 4.593 5.472 90.00 106.51 90.00
Fractional positions:
Ta: 0.000 0.000 0.000
Ta: 0.368 0.500 0.739
Cd: 0.635 0.500 0.271
P: 0.305 0.000 0.610

Calculated values
space group	Pm
E_tot	-7.37	eV per atom
energy relative to the elements	0.139	eV per atom
polymorph energy (0 for the lowest one)	280	meV per atom

***

Entry 3:
VASP calculation (PBE) on a relaxed structure of Ta2CdP.

Lattice parameters (Å, degrees): 10.144 10.144 10.144 157.59 157.59 31.90
Fractional positions:
Ta: 0.113 0.625 0.988
Ta: 0.375 0.363 0.488
Ta: 0.637 0.125 0.012
Ta: 0.875 0.887 0.512
Cd: 0.250 0.750 0.500
Cd: 0.500 0.500 0.000
P: 0.000 0.000 0.000
P: 0.750 0.250 0.500

Calculated values
space group	I-42d
E_tot	-6.98	eV per atom
energy relative to the elements	0.527	eV per atom
polymorph energy (0 for the lowest one)	668	meV per atom

***

Entry 4:
VASP calculation (PBE) on a relaxed structure of TaCd2TcP.

Lattice parameters (Å, degrees): 5.211 5.211 4.652 90.00 90.00 90.00
Fractional positions:
Ta: 0.000 0.000 0.000
Cd: 0.000 0.500 0.500
Cd: 0.500 0.000 0.500
Tc: 0.000 0.000 0.500
P: 0.500 0.500 0.000

Calculated values
space group	P4/mmm
E_tot	-4.58	eV per atom
energy relative to the elements	1.311	eV per atom